KNiF3 | PBE+U | relaxed

Values from the calculation:
calculated total energy: -170.75 eV/cell
crystal system: monoclinic

a = 11.0625 Å, b = 10.5871 Å, c = 5.3530 Å
α = 90.00°, β = 92.11°, γ = 90.00°
Closest atoms and distances in Å follow each position.
Space group C2/c (No. 15)
One atom of each set of equivalent atoms:
K (0.1969, 0.1005, 0.3199)  5 F 2.50-2.77
Ni (0.0000, 0.2650, 0.7500)  4 F 1.96-2.04
Ni (0.0000, 0.4273, 0.2500)  6 F 1.97-2.07
F (0.0954, 0.4290, 0.9246)  3 Ni 2.06-2.22
F (0.0970, 0.3017, 0.4423)  2 Ni 1.97-2.04
F (0.1189, 0.1374, 0.8600)  1 Ni 1.96